Computed, not measured: a relaxed structure of Sr2Co2O5 at the PBE with a Hubbard U level of DFT.

Cell: 5.382 5.508 8.810 Å, 108.22 107.79 90.00°
Last column: magnetic moment on the atom in μB.
Atoms (fractional coordinates):
Co 0.020 0.000 0.000  2.27
Co 0.520 0.500 0.000  2.28
Co 0.233 0.311 0.500  2.86
Co 0.733 0.689 0.500  2.86
O 0.773 0.254 0.011  0.02
O 0.273 0.258 0.011  0.02
O 0.172 0.106 0.285  0.24
O 0.672 0.678 0.285  0.24
O 0.881 0.373 0.500  0.27
O 0.381 0.627 0.500  0.27
O 0.387 0.322 0.715  0.24
O 0.887 0.894 0.715  0.24
O 0.262 0.742 0.989  0.02
O 0.762 0.746 0.989  0.02
Sr 0.626 0.099 0.220  0.01
Sr 0.126 0.621 0.220  0.01
Sr 0.906 0.379 0.780  0.01
Sr 0.406 0.901 0.780  0.01

The calculated total energy comes out at -109.41 eV for the cell shown. The crystal system is orthorhombic.